# 1
{"formula": "PrHo3Mg", "functional": "GGA-PBE", "state": "optimized geometry", "density_g_cm3": 7.15, "dos_ef_per_ev_cell": 13.19, "e_above_lowest_polymorph_mev_per_atom": 0.0, "final_energy_ev_per_cell": -40.35, "formation_energy_kcal_per_mol_atoms": -0.302, "sg": "P-1", "crystal_system": "triclinic", "lattice": [[-1.6597, 3.3026, -0.0579], [-5.8391, -0.8072, 3.3259], [5.2065, 2.8099, 11.3143]], "species": ["Mg", "Ho", "Pr", "Ho", "Ho", "Ho", "Ho", "Pr", "Ho", "Mg"], "fractional_positions": [[0.5545, 0.8914, 0.6237], [0.1490, 0.7015, 0.4431], [0.7639, 0.4710, 0.2417], [0.0356, 0.9290, 0.1866], [0.9644, 0.0710, 0.8134], [0.6341, 0.7328, 0.9772], [0.3659, 0.2672, 0.0228], [0.2361, 0.5290, 0.7583], [0.8510, 0.2985, 0.5569], [0.4455, 0.1086, 0.3763]]}

=====

# 2
{"formula": "PrHo3Mg2", "functional": "GGA-PBE", "state": "optimized geometry", "density_g_cm3": 6.47, "dos_ef_per_ev_cell": 8.14, "final_energy_ev_per_cell": -21.94, "formation_energy_kcal_per_mol_atoms": -0.904, "sg": "P4/mmm", "crystal_system": "tetragonal", "lattice": [[3.6741, 0.0000, 0.0000], [0.0000, 3.6741, 0.0000], [0.0000, 0.0000, 13.0083]], "species": ["Mg", "Mg", "Ho", "Ho", "Pr", "Ho"], "fractional_positions": [[0.5000, 0.5000, 0.8494], [0.5000, 0.5000, 0.1506], [0.0000, 0.0000, 0.6948], [0.0000, 0.0000, 0.0000], [0.5000, 0.5000, 0.5000], [0.0000, 0.0000, 0.3052]]}